NdNpMn2O8 | the Alexandria database | PBE+U | relaxed; DOS at the Fermi energy = 0.0475 states/eV/atom; energy = -8.20 eV/atom
1.0
-1.371 -5.853 -0.484
2.458 1.166 5.382
-5.049 3.245 -0.587
Nd Np Mn O
1 1 2 8
direct
0.000 0.000 0.000 Nd
0.250 0.750 0.500 Np
0.750 0.250 0.500 Mn
0.500 0.500 0.000 Mn
0.387 0.059 0.328 O
0.301 0.516 0.215 O
0.301 0.086 0.785 O
0.732 0.059 0.672 O
0.914 0.699 0.215 O
0.941 0.268 0.328 O
0.941 0.613 0.672 O
0.484 0.699 0.785 O